Computed, not measured: a geometry-optimized ScCuNi structure at the GGA-PBEsol level of DFT.

Cell lengths 3.186, 3.186, 4.698 Å; angles 109.82, 109.82, 90.00 degrees
Atoms (fractional coordinates):
Sc  0.671  0.671  0.343
Cu  0.990  0.990  0.980
Ni  0.339  0.339  0.678

crystal system	tetragonal
DFT total energy	-17.97	eV for the cell shown
SG	I4mm, No. 107
energy of formation from the pure elements	-6.69	kcal/mol of atoms
M_tot	0.00	μB/f.u.
N(E_F)	2.43	states/eV/cell